(1)
Material: BaLaAs2O8
Method: DFT, PBE-GGA
State: optimized geometry

Structure (POSCAR):
```
BaLaAs2O8
1.0
5.795 0.000 0.000
-2.897 5.018 0.000
0.000 0.000 7.989
O As La Ba
8 2 1 1
Direct
0.343 0.172 0.293
0.667 0.333 0.009
0.829 0.657 0.293
0.172 0.829 0.707
0.333 0.667 0.991
0.657 0.828 0.707
0.828 0.171 0.293
0.171 0.343 0.707
0.333 0.667 0.775
0.667 0.333 0.225
0.000 0.000 0.500
0.000 0.000 0.000
```

Raw formation energy (meV per atom): -1990
Calculated volume (Å³/cell): 232.3

---

(2)
Material: Se2ICl
Method: DFT, PBE-GGA
State: optimized geometry

Structure (POSCAR):
```
Se2ICl
1.0
0.000 3.603 3.603
3.603 0.000 3.603
3.603 3.603 0.000
I Se Cl
1 2 1
Direct
0.500 0.500 0.500
0.250 0.250 0.250
0.750 0.750 0.750
0.000 0.000 0.000
```

Raw formation energy (meV per atom): 645
E above lowest polymorph (meV/atom): 677
Calculated volume (Å³/cell): 93.5

---

(3)
Material: NaNdIn6
Method: DFT, PBE-GGA
State: optimized geometry

Structure (POSCAR):
```
NaNdIn6
1.0
-1.678 2.547 -3.700
4.686 -2.569 -3.893
-4.049 -4.978 -1.591
In Nd Na
6 1 1
Direct
0.000 0.252 0.748
0.000 0.252 0.252
0.000 0.748 0.748
0.500 0.000 0.500
0.500 0.500 0.000
0.000 0.748 0.252
0.500 0.000 0.000
0.500 0.500 0.500
```

DFT total energy (eV/cell): -24.51
Calculated volume (Å³/cell): 209.6

---

(4)
Material: Cs2WSBr5
Method: DFT, PBE-GGA
State: optimized geometry

Structure (POSCAR):
```
Cs2WSBr5
1.0
7.752 -0.054 -0.079
-3.729 6.797 0.079
-3.729 -2.346 6.379
W Cs Br S
1 2 5 1
Direct
0.000 0.976 0.976
0.500 0.254 0.754
0.500 0.754 0.254
0.000 0.229 0.229
0.538 0.772 0.772
0.000 0.233 0.772
0.462 0.233 0.233
0.000 0.772 0.233
0.000 0.777 0.777
```

Raw formation energy (meV per atom): -1082
Calculated volume (Å³/cell): 333.6